First-principles (GGA-PBE) data for crystalline La6Nd2Ag at its relaxed geometry, as listed in Alexandria via LeMat-Bulk.

Cell lengths 3.791, 16.971, 9.807 Å; angles 90.00, 90.00, 90.00 degrees
Space group Amm2 (No. 38)
Asymmetric unit:
La (0.000, 0.000, 0.000) (multiplicity 2)
La (0.000, 0.132, 0.602) (multiplicity 4)
La (0.500, 0.000, 0.353) (multiplicity 2)
La (0.500, 0.191, 0.925) (multiplicity 4)
Nd (0.000, 0.167, 0.234) (multiplicity 4)
Ag (0.500, 0.000, 0.735) (multiplicity 2)

excess energy over the best structure of this formula in the dataset	0	meV/atom
size of the total moment	0.00	μB/f.u.
ΔE_f	-0.039	eV/atom
E_tot	-84.611	eV per cell

=====

First-principles (GGA-PBE) data for crystalline LaNdAg3 at its relaxed geometry, as listed in Alexandria via LeMat-Bulk.

Cell lengths 3.712, 28.729, 4.854 Å; angles 90.00, 90.00, 90.00 degrees
Space group Cmcm (No. 63)
Asymmetric unit:
La (0.000, 0.074, 0.250) (multiplicity 4)
Nd (0.000, 0.209, 0.750) (multiplicity 4)
Ag (0.000, 0.325, 0.750) (multiplicity 4)
Ag (0.000, 0.380, 0.250) (multiplicity 4)
Ag (0.000, 0.476, 0.250) (multiplicity 4)

size of the total moment	0.00	μB/f.u.
ΔE_f	-0.264	eV/atom
E_tot	-78.274	eV per cell

=====

First-principles (GGA-PBE) data for crystalline La3Nd5Ag2 at its relaxed geometry, as listed in Alexandria via LeMat-Bulk.

Cell lengths 11.845, 16.696, 6.829 Å; angles 90.00, 90.00, 90.00 degrees
Space group Ibam (No. 72)
Asymmetric unit:
La (0.000, 0.000, 0.250) (multiplicity 4)
La (0.220, 0.167, 0.000) (multiplicity 8)
Nd (0.000, 0.305, 0.250) (multiplicity 8)
Nd (0.000, 0.500, 0.250) (multiplicity 4)
Nd (0.229, 0.435, 0.000) (multiplicity 8)
Ag (0.062, 0.162, 0.500) (multiplicity 8)

size of the total moment	0.00	μB/f.u.
ΔE_f	0.074	eV/atom
E_tot	-174.343	eV per cell

=====

First-principles (GGA-PBE) data for crystalline La4NdAg at its relaxed geometry, as listed in Alexandria via LeMat-Bulk.

Cell lengths 3.785, 3.785, 13.975 Å; angles 90.00, 90.00, 90.00 degrees
Space group P4/mmm (No. 123)
Asymmetric unit:
La (0.000, 0.000, 0.138) (multiplicity 2)
La (0.500, 0.500, 0.318) (multiplicity 2)
Nd (0.000, 0.000, 0.500) (multiplicity 1)
Ag (0.500, 0.500, 0.000) (multiplicity 1)

excess energy over the best structure of this formula in the dataset	0	meV/atom
size of the total moment	0.00	μB/f.u.
ΔE_f	-0.074	eV/atom
E_tot	-27.772	eV per cell

=====

First-principles (GGA-PBE) data for crystalline LaNd2Ag at its relaxed geometry, as listed in Alexandria via LeMat-Bulk.

Cell lengths 7.771, 7.771, 7.771 Å; angles 90.00, 90.00, 90.00 degrees
Space group Fm-3m (No. 225)
Asymmetric unit:
La (0.000, 0.000, 0.000) (multiplicity 4)
Nd (0.250, 0.250, 0.250) (multiplicity 8)
Ag (0.000, 0.000, 0.500) (multiplicity 4)

excess energy over the best structure of this formula in the dataset	185	meV/atom
size of the total moment	1.94	μB/f.u.
ΔE_f	0.075	eV/atom
E_tot	-68.064	eV per cell

=====

First-principles (GGA-PBE) data for crystalline La6NdAg at its relaxed geometry, as listed in Alexandria via LeMat-Bulk.

Cell lengths 8.225, 8.251, 15.947 Å; angles 90.00, 90.00, 90.00 degrees
Space group Fmmm (No. 69)
Asymmetric unit:
La (0.000, 0.000, 0.235) (multiplicity 8)
La (0.250, 0.250, 0.110) (multiplicity 16)
Nd (0.000, 0.000, 0.000) (multiplicity 4)
Ag (0.000, 0.000, 0.500) (multiplicity 4)

excess energy over the best structure of this formula in the dataset	0	meV/atom
size of the total moment	0.00	μB/f.u.
ΔE_f	0.025	eV/atom
E_tot	-147.936	eV per cell

=====

First-principles (GGA-PBE) data for crystalline La5NdAg4 at its relaxed geometry, as listed in Alexandria via LeMat-Bulk.

Cell lengths 3.803, 3.803, 20.504 Å; angles 90.00, 90.00, 90.00 degrees
Space group P4/mmm (No. 123)
Asymmetric unit:
La (0.000, 0.000, 0.000) (multiplicity 1)
La (0.000, 0.000, 0.189) (multiplicity 2)
La (0.000, 0.000, 0.377) (multiplicity 2)
Nd (0.500, 0.500, 0.500) (multiplicity 1)
Ag (0.500, 0.500, 0.094) (multiplicity 2)
Ag (0.500, 0.500, 0.284) (multiplicity 2)

size of the total moment	0.00	μB/f.u.
ΔE_f	-0.200	eV/atom
E_tot	-42.810	eV per cell

=====

First-principles (GGA-PBE) data for crystalline LaNd4Ag at its relaxed geometry, as listed in Alexandria via LeMat-Bulk.

Cell lengths 5.612, 15.869, 9.140 Å; angles 90.00, 90.00, 90.00 degrees
Space group Cmc2_1 (No. 36)
Asymmetric unit:
La (0.000, 0.132, 0.000) (multiplicity 4)
Nd (0.000, 0.093, 0.605) (multiplicity 4)
Nd (0.000, 0.266, 0.323) (multiplicity 4)
Nd (0.000, 0.337, 0.682) (multiplicity 4)
Nd (0.000, 0.483, 0.364) (multiplicity 4)
Ag (0.000, 0.333, 0.016) (multiplicity 4)

excess energy over the best structure of this formula in the dataset	176	meV/atom
size of the total moment	0.00	μB/f.u.
ΔE_f	0.112	eV/atom
E_tot	-104.720	eV per cell

=====

- The lowest ΔE_f belongs to which entry?
  LaNdAg3

=====

- Among the records above, which one has the highest ΔE_f?
  LaNd4Ag